The following is a DFT calculation (PBE with a Hubbard U) of a geometry-optimized KPmMn2O8 structure.

The structure in POSCAR format:
```
KPmMn2O8
1.0
-2.565 5.192 0.425
-0.214 -3.718 4.456
6.612 3.034 2.849
O Mn K Pm
8 2 1 1
Direct
0.173 0.353 0.692
0.667 0.333 0.028
0.827 0.647 0.308
0.333 0.667 0.972
0.820 0.173 0.308
0.353 0.180 0.308
0.647 0.820 0.692
0.180 0.827 0.692
0.333 0.667 0.764
0.667 0.333 0.236
0.000 0.000 0.000
0.000 0.000 0.500
```

Computed properties:
Total magnetic moment = 2.0 μB per cell
Density = 3.071 Mg/m³
Final energy = -6.46 eV/atom